Record 1
Compound: CeScZn2
Source: Alexandria via LeMat-Bulk
Functional: PBE
Structure: optimized geometry

## Properties
The value obtained for the density is 6.31 g cm⁻³. The energy above the most stable polymorph in this dataset is 0 meV per atom.

```
data_CeScZn2
_cell_length_a 3.3201
_cell_length_b 3.3201
_cell_length_c 7.5392
_cell_angle_alpha 90.00
_cell_angle_beta 90.00
_cell_angle_gamma 90.00
_symmetry_space_group_name_H-M 'P 4/m m m'
_symmetry_Int_Tables_number 123
_symmetry_space_group_name_Hall '-P 4 2'
loop_
_atom_site_label
_atom_site_fract_x
_atom_site_fract_y
_atom_site_fract_z
Ce1 0.0000 0.0000 0.0000
Sc1 0.0000 0.0000 0.5000
Zn1 0.5000 0.5000 0.2812
```

Record 2
Compound: SrAgN
Source: Alexandria via LeMat-Bulk
Functional: PBE
Structure: optimized geometry

## Properties
The uncorrected formation energy is -0.149 eV per atom. The value obtained for the density is 5.68 g cm⁻³.

```
data_SrAgN
_cell_length_a 5.3869
_cell_length_b 4.1995
_cell_length_c 5.4182
_cell_angle_alpha 90.00
_cell_angle_beta 90.00
_cell_angle_gamma 90.00
_symmetry_space_group_name_H-M 'P m m a'
_symmetry_Int_Tables_number 51
_symmetry_space_group_name_Hall '-P 2a 2a'
loop_
_atom_site_label
_atom_site_fract_x
_atom_site_fract_y
_atom_site_fract_z
Sr1 0.2500 0.0000 0.2446
Ag1 0.2500 0.5000 0.7263
N1 0.2500 0.0000 0.7606
```

Record 3
Compound: PaAgSb3
Source: Alexandria via LeMat-Bulk
Functional: PBE
Structure: optimized geometry

## Properties
The uncorrected formation energy is -0.229 eV per atom. The value obtained for the density is 9.24 g cm⁻³.

```
data_PaAgSb3
_cell_length_a 13.1956
_cell_length_b 6.2351
_cell_length_c 6.1555
_cell_angle_alpha 90.00
_cell_angle_beta 90.00
_cell_angle_gamma 90.00
_symmetry_space_group_name_H-M 'P b c m'
_symmetry_Int_Tables_number 57
_symmetry_space_group_name_Hall '-P 2c 2b'
loop_
_atom_site_label
_atom_site_fract_x
_atom_site_fract_y
_atom_site_fract_z
Pa1 0.1847 0.0010 0.2500
Ag1 0.3887 0.7500 0.0000
Sb1 0.9996 0.2500 0.0000
Sb2 0.2295 0.0016 0.7500
Sb3 0.4189 0.1448 0.2500
```

Record 4
Compound: TeP2Os
Source: Alexandria via LeMat-Bulk
Functional: PBE
Structure: optimized geometry

## Properties
The uncorrected formation energy is 0.838 eV per atom. The value obtained for the density is 9.48 g cm⁻³. The energy above the most stable polymorph in this dataset is 806 meV per atom.

```
data_TeP2Os
_cell_length_a 6.4322
_cell_length_b 6.4322
_cell_length_c 6.4322
_cell_angle_alpha 90.00
_cell_angle_beta 90.00
_cell_angle_gamma 90.00
_symmetry_space_group_name_H-M 'F -4 3 m'
_symmetry_Int_Tables_number 216
_symmetry_space_group_name_Hall 'F -4 2 3'
loop_
_atom_site_label
_atom_site_fract_x
_atom_site_fract_y
_atom_site_fract_z
Te1 0.0000 0.0000 0.0000
P1 0.0000 0.0000 0.5000
P2 0.2500 0.2500 0.7500
Os1 0.2500 0.2500 0.2500
```

Record 5
Compound: YHoZnPd
Source: Alexandria via LeMat-Bulk
Functional: PBE
Structure: optimized geometry

## Properties
The value obtained for the density is 8.02 g cm⁻³. The energy above the most stable polymorph in this dataset is 0 meV per atom.

```
data_YHoZnPd
_cell_length_a 3.5510
_cell_length_b 3.5510
_cell_length_c 6.9916
_cell_angle_alpha 90.00
_cell_angle_beta 90.00
_cell_angle_gamma 90.00
_symmetry_space_group_name_H-M 'P 4 m m'
_symmetry_Int_Tables_number 99
_symmetry_space_group_name_Hall 'P 4 -2'
loop_
_atom_site_label
_atom_site_fract_x
_atom_site_fract_y
_atom_site_fract_z
Y1 0.0000 0.0000 0.0000
Ho1 0.0000 0.0000 0.5079
Zn1 0.5000 0.5000 0.2571
Pd1 0.5000 0.5000 0.7453
```

Record 6
Compound: Pb6IO12
Source: Alexandria via LeMat-Bulk
Functional: PBE
Structure: optimized geometry

## Properties
The uncorrected formation energy is -0.746 eV per atom. The value obtained for the density is 8.47 g cm⁻³.

```
data_Pb6IO12
_cell_length_a 10.3990
_cell_length_b 10.3990
_cell_length_c 9.8061
_cell_angle_alpha 90.00
_cell_angle_beta 90.00
_cell_angle_gamma 120.00
_symmetry_space_group_name_H-M 'R -3'
_symmetry_Int_Tables_number 148
_symmetry_space_group_name_Hall '-R 3'
loop_
_atom_site_label
_atom_site_fract_x
_atom_site_fract_y
_atom_site_fract_z
Pb1 0.0388 0.7903 0.1469
I1 0.0000 0.0000 0.5000
O1 0.0203 0.8556 0.3897
O2 0.0289 0.8037 0.8990
```

Record 7
Compound: PPt2I2
Source: Alexandria via LeMat-Bulk
Functional: PBE
Structure: optimized geometry

## Properties
The uncorrected formation energy is 0.848 eV per atom. The value obtained for the density is 9.57 g cm⁻³. The energy above the most stable polymorph in this dataset is 157 meV per atom.

```
data_PPt2I2
_cell_length_a 7.9863
_cell_length_b 7.9863
_cell_length_c 3.6708
_cell_angle_alpha 90.00
_cell_angle_beta 90.00
_cell_angle_gamma 90.00
_symmetry_space_group_name_H-M 'P 4/m b m'
_symmetry_Int_Tables_number 127
_symmetry_space_group_name_Hall '-P 4 2ab'
loop_
_atom_site_label
_atom_site_fract_x
_atom_site_fract_y
_atom_site_fract_z
P1 0.0000 0.0000 0.0000
Pt1 0.1125 0.3875 0.5000
I1 0.2165 0.7165 0.0000
```

Record 8
Compound: BaTc2
Source: Alexandria via LeMat-Bulk
Functional: PBE
Structure: optimized geometry

## Properties
The value obtained for the density is 7.51 g cm⁻³. The energy above the most stable polymorph in this dataset is 284 meV per atom.

```
data_BaTc2
_cell_length_a 4.9969
_cell_length_b 4.9969
_cell_length_c 11.8081
_cell_angle_alpha 90.00
_cell_angle_beta 90.00
_cell_angle_gamma 90.00
_symmetry_space_group_name_H-M 'I 4/m c m'
_symmetry_Int_Tables_number 140
_symmetry_space_group_name_Hall '-I 4 2c'
loop_
_atom_site_label
_atom_site_fract_x
_atom_site_fract_y
_atom_site_fract_z
Ba1 0.0000 0.0000 0.2500
Tc1 0.2071 0.2929 0.0000
```

Record 9
Compound: ScAlHg2I
Source: Alexandria via LeMat-Bulk
Functional: PBE
Structure: optimized geometry

## Properties
The uncorrected formation energy is 0.287 eV per atom. The value obtained for the density is 6.52 g cm⁻³.

```
data_ScAlHg2I
_cell_length_a 5.1313
_cell_length_b 5.1313
_cell_length_c 5.8077
_cell_angle_alpha 90.00
_cell_angle_beta 90.00
_cell_angle_gamma 90.00
_symmetry_space_group_name_H-M 'P 4/m m m'
_symmetry_Int_Tables_number 123
_symmetry_space_group_name_Hall '-P 4 2'
loop_
_atom_site_label
_atom_site_fract_x
_atom_site_fract_y
_atom_site_fract_z
Sc1 0.0000 0.0000 0.0000
Al1 0.5000 0.5000 0.5000
Hg1 0.0000 0.5000 0.5000
I1 0.5000 0.5000 0.0000
```

Record 10
Compound: NdCuP
Source: Alexandria via LeMat-Bulk
Functional: PBE
Structure: optimized geometry

## Properties
The value obtained for the density is 6.29 g cm⁻³.

```
data_NdCuP
_cell_length_a 6.9949
_cell_length_b 4.0363
_cell_length_c 5.0436
_cell_angle_alpha 90.00
_cell_angle_beta 117.67
_cell_angle_gamma 90.00
_symmetry_space_group_name_H-M 'C 1 m 1'
_symmetry_Int_Tables_number 8
_symmetry_space_group_name_Hall 'C -2y'
loop_
_atom_site_label
_atom_site_fract_x
_atom_site_fract_y
_atom_site_fract_z
Nd1 0.0000 0.0000 0.0000
Cu1 0.0126 0.5000 0.5404
P1 0.2076 0.0000 0.6251
```

Record 11
Compound: Sr3Mg2
Source: Alexandria via LeMat-Bulk
Functional: PBE
Structure: optimized geometry

## Properties
The value obtained for the density is 2.38 g cm⁻³. The energy above the most stable polymorph in this dataset is 85 meV per atom.

```
data_Sr3Mg2
_cell_length_a 5.8930
_cell_length_b 5.8930
_cell_length_c 7.2227
_cell_angle_alpha 90.00
_cell_angle_beta 90.00
_cell_angle_gamma 120.00
_symmetry_space_group_name_H-M 'P -3 m 1'
_symmetry_Int_Tables_number 164
_symmetry_space_group_name_Hall '-P 3 2"'
loop_
_atom_site_label
_atom_site_fract_x
_atom_site_fract_y
_atom_site_fract_z
Sr1 0.0000 0.0000 0.0000
Sr2 0.3333 0.6667 0.3438
Mg1 0.3333 0.6667 0.8621
```

Record 12
Compound: KTa3Te
Source: Alexandria via LeMat-Bulk
Functional: PBE
Structure: optimized geometry

## Properties
The uncorrected formation energy is 2.898 eV per atom. The value obtained for the density is 10.82 g cm⁻³. The energy above the most stable polymorph in this dataset is 1008 meV per atom.

```
data_KTa3Te
_cell_length_a 4.7756
_cell_length_b 4.7756
_cell_length_c 4.7756
_cell_angle_alpha 90.00
_cell_angle_beta 90.00
_cell_angle_gamma 90.00
_symmetry_space_group_name_H-M 'P m -3 m'
_symmetry_Int_Tables_number 221
_symmetry_space_group_name_Hall '-P 4 2 3'
loop_
_atom_site_label
_atom_site_fract_x
_atom_site_fract_y
_atom_site_fract_z
K1 0.0000 0.0000 0.0000
Ta1 0.0000 0.0000 0.5000
Te1 0.5000 0.5000 0.5000
```

Record 13
Compound: La2ZrPH
Source: Alexandria via LeMat-Bulk
Functional: PBE
Structure: optimized geometry

## Properties
The value obtained for the density is 4.28 g cm⁻³.

```
data_La2ZrPH
_cell_length_a 5.6677
_cell_length_b 5.6677
_cell_length_c 4.8387
_cell_angle_alpha 90.00
_cell_angle_beta 90.00
_cell_angle_gamma 90.00
_symmetry_space_group_name_H-M 'P 4/m m m'
_symmetry_Int_Tables_number 123
_symmetry_space_group_name_Hall '-P 4 2'
loop_
_atom_site_label
_atom_site_fract_x
_atom_site_fract_y
_atom_site_fract_z
La1 0.0000 0.5000 0.0000
Zr1 0.0000 0.0000 0.5000
P1 0.0000 0.0000 0.0000
H1 0.5000 0.5000 0.5000
```

Record 14
Compound: AcMg4Sn4
Source: Alexandria via LeMat-Bulk
Functional: PBE
Structure: optimized geometry

## Properties
The value obtained for the density is 5.26 g cm⁻³.

```
data_AcMg4Sn4
_cell_length_a 7.3640
_cell_length_b 7.3640
_cell_length_c 9.2984
_cell_angle_alpha 90.00
_cell_angle_beta 90.00
_cell_angle_gamma 90.00
_symmetry_space_group_name_H-M 'P 42/n m c'
_symmetry_Int_Tables_number 137
loop_
_symmetry_equiv_pos_as_xyz
'x,y,z'
'-x,-y,-z'
'-y+1/2,x,z+1/2'
'y+1/2,-x,-z+1/2'
'-x+1/2,-y+1/2,z'
'x+1/2,y+1/2,-z'
'y,-x+1/2,z+1/2'
'-y,x+1/2,-z+1/2'
'x+1/2,-y,-z'
'-x+1/2,y,z'
'-y,-x,-z+1/2'
'y,x,z+1/2'
'-x,y+1/2,-z'
'x,-y+1/2,z'
'y+1/2,x+1/2,-z+1/2'
'-y+1/2,-x+1/2,z+1/2'
loop_
_atom_site_label
_atom_site_fract_x
_atom_site_fract_y
_atom_site_fract_z
Ac1 0.2500 0.7500 0.2500
Mg1 0.0133 0.2500 0.1438
Sn1 0.0363 0.2500 0.4499
```

Record 15
Compound: GdYNiHg
Source: Alexandria via LeMat-Bulk
Functional: PBE
Structure: optimized geometry

## Properties
The value obtained for the density is 9.03 g cm⁻³.

```
data_GdYNiHg
_cell_length_a 7.1903
_cell_length_b 7.1903
_cell_length_c 7.1903
_cell_angle_alpha 90.00
_cell_angle_beta 90.00
_cell_angle_gamma 90.00
_symmetry_space_group_name_H-M 'F -4 3 m'
_symmetry_Int_Tables_number 216
_symmetry_space_group_name_Hall 'F -4 2 3'
loop_
_atom_site_label
_atom_site_fract_x
_atom_site_fract_y
_atom_site_fract_z
Gd1 0.0000 0.0000 0.0000
Y1 0.0000 0.0000 0.5000
Ni1 0.2500 0.2500 0.7500
Hg1 0.2500 0.2500 0.2500
```

Record 16
Compound: HoMgSn6
Source: Alexandria via LeMat-Bulk
Functional: PBE
Structure: optimized geometry

## Properties
The value obtained for the density is 7.26 g cm⁻³.

```
data_HoMgSn6
_cell_length_a 6.6840
_cell_length_b 6.6840
_cell_length_c 4.6149
_cell_angle_alpha 90.00
_cell_angle_beta 90.00
_cell_angle_gamma 90.00
_symmetry_space_group_name_H-M 'P 4/m m m'
_symmetry_Int_Tables_number 123
_symmetry_space_group_name_Hall '-P 4 2'
loop_
_atom_site_label
_atom_site_fract_x
_atom_site_fract_y
_atom_site_fract_z
Ho1 0.0000 0.0000 0.0000
Mg1 0.5000 0.5000 0.0000
Sn1 0.0000 0.5000 0.0000
Sn2 0.2606 0.2606 0.5000
```

Record 17
Compound: PS2Cl2
Source: Alexandria via LeMat-Bulk
Functional: PBE
Structure: optimized geometry

## Properties
The uncorrected formation energy is 0.406 eV per atom. The value obtained for the density is 2.59 g cm⁻³. The energy above the most stable polymorph in this dataset is 0 meV per atom.

```
data_PS2Cl2
_cell_length_a 6.6728
_cell_length_b 6.6728
_cell_length_c 4.7888
_cell_angle_alpha 90.00
_cell_angle_beta 90.00
_cell_angle_gamma 90.00
_symmetry_space_group_name_H-M 'P 4/m b m'
_symmetry_Int_Tables_number 127
_symmetry_space_group_name_Hall '-P 4 2ab'
loop_
_atom_site_label
_atom_site_fract_x
_atom_site_fract_y
_atom_site_fract_z
P1 0.0000 0.0000 0.0000
S1 0.1998 0.3002 0.0000
Cl1 0.1827 0.3173 0.5000
```

Record 18
Compound: La7Pr2Er2
Source: Alexandria via LeMat-Bulk
Functional: PBE
Structure: optimized geometry

## Properties
The value obtained for the density is 6.68 g cm⁻³. The energy above the most stable polymorph in this dataset is 0 meV per atom.

```
data_La7Pr2Er2
_cell_length_a 17.6796
_cell_length_b 12.0311
_cell_length_c 3.7490
_cell_angle_alpha 90.00
_cell_angle_beta 97.78
_cell_angle_gamma 90.00
_symmetry_space_group_name_H-M 'C 1 2/m 1'
_symmetry_Int_Tables_number 12
_symmetry_space_group_name_Hall '-C 2y'
loop_
_atom_site_label
_atom_site_fract_x
_atom_site_fract_y
_atom_site_fract_z
La1 0.0000 0.0000 0.0000
La2 0.1004 0.5000 0.7515
La3 0.1635 0.2498 0.1743
Pr1 0.2050 0.0000 0.6631
Er1 0.0000 0.2515 0.5000
```

Record 19
Compound: ThMgH6Rh2
Source: Alexandria via LeMat-Bulk
Functional: PBE
Structure: optimized geometry

## Properties
The value obtained for the density is 8.12 g cm⁻³.

```
data_ThMgH6Rh2
_cell_length_a 4.5755
_cell_length_b 4.5755
_cell_length_c 15.8456
_cell_angle_alpha 90.00
_cell_angle_beta 90.00
_cell_angle_gamma 120.00
_symmetry_space_group_name_H-M 'R -3 m'
_symmetry_Int_Tables_number 166
_symmetry_space_group_name_Hall '-R 3 2"'
loop_
_atom_site_label
_atom_site_fract_x
_atom_site_fract_y
_atom_site_fract_z
Th1 0.0000 0.0000 0.0000
Mg1 0.0000 0.0000 0.5000
H1 0.0141 0.5070 0.0617
Rh1 0.0000 0.0000 0.2127
```

Record 20
Compound: TaV3Mo8
Source: Alexandria via LeMat-Bulk
Functional: PBE
Structure: optimized geometry

## Properties
The value obtained for the density is 9.88 g cm⁻³.

```
data_TaV3Mo8
_cell_length_a 4.4780
_cell_length_b 8.7704
_cell_length_c 5.2049
_cell_angle_alpha 90.00
_cell_angle_beta 115.16
_cell_angle_gamma 90.00
_symmetry_space_group_name_H-M 'P 1 2/m 1'
_symmetry_Int_Tables_number 10
_symmetry_space_group_name_Hall '-P 2y'
loop_
_atom_site_label
_atom_site_fract_x
_atom_site_fract_y
_atom_site_fract_z
Ta1 0.0000 0.0000 0.0000
V1 0.0000 0.5000 0.0000
V2 0.3334 0.5000 0.6670
Mo1 0.1676 0.2601 0.3349
Mo2 0.3313 0.0000 0.6627
Mo3 0.5000 0.2576 0.0000
```

Calculated total energy / eV per atom: -3.98 -4.44 -5.17 -5.46 -5.01 -5.13 -3.27 -6.86 -2.16 -5.47 -1.60 -5.06 -5.30 -3.14 -7.00 -3.99 -3.07 -4.74 -4.84 -10.60